LiReMo2F: relaxed, PBE+U.

Properties
DOS at the Fermi energy, states/eV/f.u.: 2.99
Spin magnetization, μB per formula unit: 6.25
Space-group type: P4/mmm (123)
E_tot, eV/atom: -5.12
Mass density, g/cm³: 6.1

a = 5.1936 Å, b = 4.1099 Å, c = 5.1936 Å
α = 90.00°, β = 90.00°, γ = 90.00°
Last column: nearest neighbours and their distance in Å.
Fractional coordinates of all 5 atoms:
Re  0.0000  0.0000  0.0000  2 F 2.05
Mo  0.0000  0.0000  0.5000  2 Re 2.60
Mo  0.5000  0.0000  0.0000  2 Re 2.60
Li  0.5000  0.5000  0.5000  8 Mo 3.31, 4 F 3.67
F  0.0000  0.5000  0.0000  2 Re 2.05